<a>
# GGA-PBE Pm3PrNd3, relaxed
# - space group = P6_3/m
# - mass density (g/cm3) = 6.8
data_Pm3PrNd3
_chemical_formula_sum 'Pm6 Pr2 Nd6'
_cell_length_a 9.825
_cell_length_b 9.825
_cell_length_c 5.929
_cell_angle_alpha 90.00
_cell_angle_beta 90.00
_cell_angle_gamma 120.00
_space_group_name_H-M_alt 'P 1'
_space_group_IT_number 1
_space_group_name_Hall 'P 1'
loop_
_atom_site_label
_atom_site_fract_x
_atom_site_fract_y
_atom_site_fract_z
Pm1 0.047 0.237 0.250
Pm2 0.190 0.953 0.250
Pm3 0.237 0.190 0.750
Pm4 0.763 0.810 0.250
Pm5 0.810 0.047 0.750
Pm6 0.953 0.763 0.750
Pr1 0.333 0.667 0.250
Pr2 0.667 0.333 0.750
Nd1 0.095 0.475 0.750
Nd2 0.380 0.905 0.750
Nd3 0.475 0.380 0.250
Nd4 0.525 0.620 0.750
Nd5 0.620 0.095 0.250
Nd6 0.905 0.525 0.250

<b>
# GGA-PBE Pm3PrNd3, relaxed
# - space group = R-3
# - mass density (g/cm3) = 6.6
data_Pm3PrNd3
_chemical_formula_sum 'Pm6 Pr2 Nd6'
_cell_length_a 9.036
_cell_length_b 9.036
_cell_length_c 9.036
_cell_angle_alpha 58.88
_cell_angle_beta 58.88
_cell_angle_gamma 58.88
_space_group_name_H-M_alt 'P 1'
_space_group_IT_number 1
_space_group_name_Hall 'P 1'
loop_
_atom_site_label
_atom_site_fract_x
_atom_site_fract_y
_atom_site_fract_z
Pm1 0.062 0.822 0.291
Pm2 0.178 0.709 0.938
Pm3 0.291 0.062 0.822
Pm4 0.709 0.938 0.178
Pm5 0.822 0.291 0.062
Pm6 0.938 0.178 0.709
Pr1 0.349 0.349 0.349
Pr2 0.651 0.651 0.651
Nd1 0.067 0.567 0.723
Nd2 0.277 0.933 0.433
Nd3 0.433 0.277 0.933
Nd4 0.567 0.723 0.067
Nd5 0.723 0.067 0.567
Nd6 0.933 0.433 0.277

Name the least stable of them. <b>.

<a>
# GGA-PBE PmPr2Nd3, relaxed
# - space group = P-3m1
# - mass density (g/cm3) = 6.7
data_PmPr2Nd3
_chemical_formula_sum 'Pm2 Pr4 Nd6'
_cell_length_a 7.375
_cell_length_b 7.375
_cell_length_c 9.024
_cell_angle_alpha 90.00
_cell_angle_beta 90.00
_cell_angle_gamma 120.00
_space_group_name_H-M_alt 'P 1'
_space_group_IT_number 1
_space_group_name_Hall 'P 1'
loop_
_atom_site_label
_atom_site_fract_x
_atom_site_fract_y
_atom_site_fract_z
Pm1 0.333 0.667 0.335
Pm2 0.667 0.333 0.665
Pr1 0.000 0.000 0.000
Pr2 0.000 0.500 0.000
Pr3 0.500 0.000 0.000
Pr4 0.500 0.500 0.000
Nd1 0.167 0.333 0.665
Nd2 0.167 0.833 0.665
Nd3 0.333 0.167 0.335
Nd4 0.667 0.833 0.665
Nd5 0.833 0.167 0.335
Nd6 0.833 0.667 0.335

<b>
# GGA-PBE PmPr2Nd3, relaxed
# - space group = Pnnm
# - mass density (g/cm3) = 6.6
data_PmPr2Nd3
_chemical_formula_sum 'Pm2 Pr4 Nd6'
_cell_length_a 6.868
_cell_length_b 18.109
_cell_length_c 3.474
_cell_angle_alpha 90.00
_cell_angle_beta 90.00
_cell_angle_gamma 90.00
_space_group_name_H-M_alt 'P 1'
_space_group_IT_number 1
_space_group_name_Hall 'P 1'
loop_
_atom_site_label
_atom_site_fract_x
_atom_site_fract_y
_atom_site_fract_z
Pm1 0.000 0.000 0.000
Pm2 0.500 0.500 0.500
Pr1 0.231 0.348 0.500
Pr2 0.269 0.848 0.000
Pr3 0.731 0.152 0.000
Pr4 0.769 0.652 0.500
Nd1 0.000 0.500 0.000
Nd2 0.237 0.178 0.000
Nd3 0.263 0.678 0.500
Nd4 0.500 0.000 0.500
Nd5 0.737 0.322 0.500
Nd6 0.763 0.822 0.000

Name the least stable of them. <b>.

<a>
# GGA-PBE PmPr4Nd2, relaxed
# - space group = R-3m
# - mass density (g/cm3) = 6.6
data_PmPr4Nd2
_chemical_formula_sum 'Pm1 Pr4 Nd2'
_cell_length_a 21.190
_cell_length_b 21.190
_cell_length_c 21.190
_cell_angle_alpha 10.02
_cell_angle_beta 10.02
_cell_angle_gamma 10.02
_space_group_name_H-M_alt 'P 1'
_space_group_IT_number 1
_space_group_name_Hall 'P 1'
loop_
_atom_site_label
_atom_site_fract_x
_atom_site_fract_y
_atom_site_fract_z
Pm1 0.000 0.000 0.000
Pr1 0.143 0.143 0.143
Pr2 0.286 0.286 0.286
Pr3 0.714 0.714 0.714
Pr4 0.857 0.857 0.857
Nd1 0.428 0.428 0.428
Nd2 0.572 0.572 0.572

<b>
# GGA-PBE PmPr4Nd2, relaxed
# - space group = C2/m
# - mass density (g/cm3) = 6.3
data_PmPr4Nd2
_chemical_formula_sum 'Pm2 Pr8 Nd4'
_cell_length_a 8.025
_cell_length_b 8.025
_cell_length_c 8.210
_cell_angle_alpha 90.22
_cell_angle_beta 90.22
_cell_angle_gamma 90.00
_space_group_name_H-M_alt 'P 1'
_space_group_IT_number 1
_space_group_name_Hall 'P 1'
loop_
_atom_site_label
_atom_site_fract_x
_atom_site_fract_y
_atom_site_fract_z
Pm1 0.000 0.000 0.000
Pm2 0.000 0.000 0.500
Pr1 0.248 0.749 0.717
Pr2 0.249 0.249 0.718
Pr3 0.250 0.250 0.283
Pr4 0.251 0.752 0.283
Pr5 0.749 0.248 0.717
Pr6 0.750 0.750 0.717
Pr7 0.751 0.751 0.282
Pr8 0.752 0.251 0.283
Nd1 0.000 0.500 0.000
Nd2 0.500 0.000 0.000
Nd3 0.500 0.500 0.000
Nd4 0.500 0.500 0.500

Name the least stable of them. <b>.

<a>
# GGA-PBE Pm2Pr5Nd2, relaxed
# - space group = Ima2
# - mass density (g/cm3) = 6.6
data_Pm2Pr5Nd2
_chemical_formula_sum 'Pm4 Pr10 Nd4'
_cell_length_a 10.346
_cell_length_b 10.346
_cell_length_c 10.346
_cell_angle_alpha 85.19
_cell_angle_beta 108.15
_cell_angle_gamma 140.57
_space_group_name_H-M_alt 'P 1'
_space_group_IT_number 1
_space_group_name_Hall 'P 1'
loop_
_atom_site_label
_atom_site_fract_x
_atom_site_fract_y
_atom_site_fract_z
Pm1 0.004 0.126 0.130
Pm2 0.004 0.374 0.378
Pm3 0.996 0.626 0.622
Pm4 0.996 0.874 0.870
Pr1 0.098 0.401 0.803
Pr2 0.098 0.795 0.197
Pr3 0.386 0.899 0.987
Pr4 0.443 0.319 0.410
Pr5 0.443 0.532 0.624
Pr6 0.598 0.295 0.197
Pr7 0.598 0.901 0.803
Pr8 0.908 0.032 0.590
Pr9 0.908 0.819 0.376
Pr10 0.912 0.399 0.013
Nd1 0.460 0.215 0.745
Nd2 0.470 0.715 0.255
Nd3 0.528 0.028 0.500
Nd4 0.528 0.528 0.000

<b>
# GGA-PBE Pm2Pr5Nd2, relaxed
# - space group = C2/m
# - mass density (g/cm3) = 6.6
data_Pm2Pr5Nd2
_chemical_formula_sum 'Pm2 Pr5 Nd2'
_cell_length_a 9.247
_cell_length_b 9.247
_cell_length_c 10.136
_cell_angle_alpha 98.53
_cell_angle_beta 98.53
_cell_angle_gamma 22.23
_space_group_name_H-M_alt 'P 1'
_space_group_IT_number 1
_space_group_name_Hall 'P 1'
loop_
_atom_site_label
_atom_site_fract_x
_atom_site_fract_y
_atom_site_fract_z
Pm1 0.163 0.163 0.228
Pm2 0.837 0.837 0.772
Pr1 0.000 0.000 0.000
Pr2 0.176 0.176 0.873
Pr3 0.331 0.331 0.462
Pr4 0.669 0.669 0.538
Pr5 0.824 0.824 0.127
Nd1 0.496 0.496 0.313
Nd2 0.504 0.504 0.687

Name the least stable of them. <a>.

<a>
# GGA-PBE Pm5Pr3Nd3, relaxed
# - space group = P-62m
# - mass density (g/cm3) = 5.6
data_Pm5Pr3Nd3
_chemical_formula_sum 'Pm5 Pr3 Nd3'
_cell_length_a 9.831
_cell_length_b 9.831
_cell_length_c 5.619
_cell_angle_alpha 90.00
_cell_angle_beta 90.00
_cell_angle_gamma 120.00
_space_group_name_H-M_alt 'P 1'
_space_group_IT_number 1
_space_group_name_Hall 'P 1'
loop_
_atom_site_label
_atom_site_fract_x
_atom_site_fract_y
_atom_site_fract_z
Pm1 0.000 0.732 0.000
Pm2 0.268 0.268 0.000
Pm3 0.333 0.667 0.000
Pm4 0.667 0.333 0.000
Pm5 0.732 0.000 0.000
Pr1 0.000 0.582 0.500
Pr2 0.418 0.418 0.500
Pr3 0.582 0.000 0.500
Nd1 0.000 0.365 0.000
Nd2 0.365 0.000 0.000
Nd3 0.635 0.635 0.000

<b>
# GGA-PBE Pm5Pr3Nd3, relaxed
# - space group = P1
# - mass density (g/cm3) = 6.8
data_Pm5Pr3Nd3
_chemical_formula_sum 'Pm5 Pr3 Nd3'
_cell_length_a 6.367
_cell_length_b 8.221
_cell_length_c 8.229
_cell_angle_alpha 107.47
_cell_angle_beta 97.46
_cell_angle_gamma 104.91
_space_group_name_H-M_alt 'P 1'
_space_group_IT_number 1
_space_group_name_Hall 'P 1'
loop_
_atom_site_label
_atom_site_fract_x
_atom_site_fract_y
_atom_site_fract_z
Pm1 0.000 0.000 0.000
Pm2 0.090 0.363 0.819
Pm3 0.181 0.727 0.637
Pm4 0.545 0.182 0.909
Pm5 0.909 0.636 0.182
Pr1 0.363 0.454 0.272
Pr2 0.454 0.818 0.090
Pr3 0.727 0.909 0.548
Nd1 0.272 0.090 0.455
Nd2 0.636 0.545 0.729
Nd3 0.818 0.273 0.365

Name the least stable of them. <a>.

<a>
# GGA-PBE Pm4Pr7Nd, relaxed
# - space group = P-1
# - mass density (g/cm3) = 6.6
data_Pm4Pr7Nd
_chemical_formula_sum 'Pm4 Pr7 Nd1'
_cell_length_a 6.446
_cell_length_b 7.422
_cell_length_c 9.210
_cell_angle_alpha 90.03
_cell_angle_beta 103.48
_cell_angle_gamma 90.01
_space_group_name_H-M_alt 'P 1'
_space_group_IT_number 1
_space_group_name_Hall 'P 1'
loop_
_atom_site_label
_atom_site_fract_x
_atom_site_fract_y
_atom_site_fract_z
Pm1 0.220 0.000 0.167
Pm2 0.279 0.249 0.832
Pm3 0.721 0.751 0.168
Pm4 0.780 0.000 0.833
Pr1 0.000 0.000 0.500
Pr2 0.221 0.500 0.167
Pr3 0.280 0.751 0.833
Pr4 0.500 0.249 0.501
Pr5 0.500 0.751 0.499
Pr6 0.720 0.249 0.167
Pr7 0.779 0.500 0.833
Nd1 0.000 0.500 0.500

<b>
# GGA-PBE Pm4Pr7Nd, relaxed
# - space group = C2/m
# - mass density (g/cm3) = 6.5
data_Pm4Pr7Nd
_chemical_formula_sum 'Pm4 Pr7 Nd1'
_cell_length_a 8.789
_cell_length_b 8.789
_cell_length_c 9.545
_cell_angle_alpha 114.21
_cell_angle_beta 114.21
_cell_angle_gamma 40.96
_space_group_name_H-M_alt 'P 1'
_space_group_IT_number 1
_space_group_name_Hall 'P 1'
loop_
_atom_site_label
_atom_site_fract_x
_atom_site_fract_y
_atom_site_fract_z
Pm1 0.073 0.073 0.197
Pm2 0.172 0.172 0.889
Pm3 0.828 0.828 0.111
Pm4 0.927 0.927 0.803
Pr1 0.000 0.000 0.500
Pr2 0.288 0.288 0.622
Pr3 0.291 0.291 0.273
Pr4 0.417 0.417 0.058
Pr5 0.583 0.583 0.942
Pr6 0.709 0.709 0.727
Pr7 0.712 0.712 0.378
Nd1 0.500 0.500 0.500

Name the least stable of them. <b>.

<a>
# GGA-PBE Pm8Pr2Nd, relaxed
# - space group = C2/m
# - mass density (g/cm3) = 6.6
data_Pm8Pr2Nd
_chemical_formula_sum 'Pm8 Pr2 Nd1'
_cell_length_a 10.343
_cell_length_b 10.343
_cell_length_c 5.742
_cell_angle_alpha 93.43
_cell_angle_beta 93.43
_cell_angle_gamma 40.44
_space_group_name_H-M_alt 'P 1'
_space_group_IT_number 1
_space_group_name_Hall 'P 1'
loop_
_atom_site_label
_atom_site_fract_x
_atom_site_fract_y
_atom_site_fract_z
Pm1 0.045 0.045 0.237
Pm2 0.106 0.636 0.269
Pm3 0.314 0.314 0.770
Pm4 0.364 0.894 0.731
Pm5 0.636 0.106 0.269
Pm6 0.686 0.686 0.230
Pm7 0.894 0.364 0.731
Pm8 0.955 0.955 0.763
Pr1 0.216 0.216 0.257
Pr2 0.784 0.784 0.743
Nd1 0.500 0.500 0.000

<b>
# GGA-PBE Pm8Pr2Nd, relaxed
# - space group = C2/m
# - mass density (g/cm3) = 6.9
data_Pm8Pr2Nd
_chemical_formula_sum 'Pm8 Pr2 Nd1'
_cell_length_a 9.685
_cell_length_b 9.685
_cell_length_c 8.202
_cell_angle_alpha 104.71
_cell_angle_beta 104.71
_cell_angle_gamma 31.03
_space_group_name_H-M_alt 'P 1'
_space_group_IT_number 1
_space_group_name_Hall 'P 1'
loop_
_atom_site_label
_atom_site_fract_x
_atom_site_fract_y
_atom_site_fract_z
Pm1 0.045 0.045 0.227
Pm2 0.136 0.136 0.680
Pm3 0.318 0.318 0.591
Pm4 0.410 0.410 0.046
Pm5 0.590 0.590 0.954
Pm6 0.682 0.682 0.409
Pm7 0.864 0.864 0.320
Pm8 0.955 0.955 0.773
Pr1 0.227 0.227 0.137
Pr2 0.773 0.773 0.863
Nd1 0.500 0.500 0.500

Name the least stable of them. <a>.

<a>
# GGA-PBE Pm3PrNd6, relaxed
# - space group = Cmc2_1
# - mass density (g/cm3) = 6.8
data_Pm3PrNd6
_chemical_formula_sum 'Pm6 Pr2 Nd12'
_cell_length_a 11.216
_cell_length_b 11.216
_cell_length_c 6.493
_cell_angle_alpha 90.00
_cell_angle_beta 90.00
_cell_angle_gamma 120.64
_space_group_name_H-M_alt 'P 1'
_space_group_IT_number 1
_space_group_name_Hall 'P 1'
loop_
_atom_site_label
_atom_site_fract_x
_atom_site_fract_y
_atom_site_fract_z
Pm1 0.117 0.883 0.500
Pm2 0.207 0.442 0.872
Pm3 0.442 0.207 0.372
Pm4 0.558 0.793 0.872
Pm5 0.793 0.558 0.372
Pm6 0.883 0.117 0.000
Pr1 0.311 0.689 0.514
Pr2 0.689 0.311 0.014
Nd1 0.027 0.443 0.285
Nd2 0.129 0.210 0.464
Nd3 0.210 0.129 0.964
Nd4 0.219 0.781 0.057
Nd5 0.443 0.027 0.785
Nd6 0.466 0.534 0.268
Nd7 0.534 0.466 0.768
Nd8 0.557 0.973 0.285
Nd9 0.781 0.219 0.557
Nd10 0.790 0.871 0.464
Nd11 0.871 0.790 0.964
Nd12 0.973 0.557 0.785

<b>
# GGA-PBE Pm3PrNd6, relaxed
# - space group = R3
# - mass density (g/cm3) = 6.7
data_Pm3PrNd6
_chemical_formula_sum 'Pm3 Pr1 Nd6'
_cell_length_a 7.083
_cell_length_b 7.083
_cell_length_c 7.083
_cell_angle_alpha 91.24
_cell_angle_beta 91.24
_cell_angle_gamma 91.24
_space_group_name_H-M_alt 'P 1'
_space_group_IT_number 1
_space_group_name_Hall 'P 1'
loop_
_atom_site_label
_atom_site_fract_x
_atom_site_fract_y
_atom_site_fract_z
Pm1 0.000 0.000 0.000
Pm2 0.248 0.248 0.248
Pm3 0.497 0.497 0.497
Pr1 0.749 0.749 0.749
Nd1 0.075 0.422 0.749
Nd2 0.249 0.923 0.574
Nd3 0.422 0.749 0.075
Nd4 0.574 0.249 0.923
Nd5 0.749 0.075 0.422
Nd6 0.923 0.574 0.249

Name the least stable of them. <b>.

<a>
# GGA-PBE Pm3Pr3Nd8, relaxed
# - space group = Immm
# - mass density (g/cm3) = 6.7
data_Pm3Pr3Nd8
_chemical_formula_sum 'Pm3 Pr3 Nd8'
_cell_length_a 9.972
_cell_length_b 9.972
_cell_length_c 9.972
_cell_angle_alpha 146.05
_cell_angle_beta 112.85
_cell_angle_gamma 77.42
_space_group_name_H-M_alt 'P 1'
_space_group_IT_number 1
_space_group_name_Hall 'P 1'
loop_
_atom_site_label
_atom_site_fract_x
_atom_site_fract_y
_atom_site_fract_z
Pm1 0.000 0.000 0.000
Pm2 0.301 0.000 0.301
Pm3 0.699 0.000 0.699
Pr1 0.318 0.818 0.500
Pr2 0.500 0.500 0.000
Pr3 0.682 0.182 0.500
Nd1 0.059 0.397 0.662
Nd2 0.061 0.221 0.840
Nd3 0.265 0.603 0.662
Nd4 0.381 0.221 0.160
Nd5 0.619 0.779 0.840
Nd6 0.735 0.397 0.338
Nd7 0.939 0.779 0.160
Nd8 0.941 0.603 0.338

<b>
# GGA-PBE Pm3Pr3Nd8, relaxed
# - space group = Immm
# - mass density (g/cm3) = 6.7
data_Pm3Pr3Nd8
_chemical_formula_sum 'Pm3 Pr3 Nd8'
_cell_length_a 9.979
_cell_length_b 9.979
_cell_length_c 9.979
_cell_angle_alpha 146.18
_cell_angle_beta 112.93
_cell_angle_gamma 77.27
_space_group_name_H-M_alt 'P 1'
_space_group_IT_number 1
_space_group_name_Hall 'P 1'
loop_
_atom_site_label
_atom_site_fract_x
_atom_site_fract_y
_atom_site_fract_z
Pm1 0.000 0.000 0.000
Pm2 0.183 0.683 0.500
Pm3 0.817 0.317 0.500
Pr1 0.195 0.500 0.695
Pr2 0.500 0.500 0.000
Pr3 0.805 0.500 0.305
Nd1 0.118 0.277 0.841
Nd2 0.234 0.896 0.338
Nd3 0.436 0.277 0.159
Nd4 0.441 0.104 0.338
Nd5 0.559 0.896 0.662
Nd6 0.564 0.723 0.841
Nd7 0.766 0.104 0.662
Nd8 0.882 0.723 0.159

Name the least stable of them. <b>.

<a>
# GGA-PBE Pm6Pr3Nd2, relaxed
# - space group = I4/mmm
# - mass density (g/cm3) = 6.5
data_Pm6Pr3Nd2
_chemical_formula_sum 'Pm6 Pr3 Nd2'
_cell_length_a 17.317
_cell_length_b 17.317
_cell_length_c 17.317
_cell_angle_alpha 163.80
_cell_angle_beta 163.80
_cell_angle_gamma 22.98
_space_group_name_H-M_alt 'P 1'
_space_group_IT_number 1
_space_group_name_Hall 'P 1'
loop_
_atom_site_label
_atom_site_fract_x
_atom_site_fract_y
_atom_site_fract_z
Pm1 0.120 0.620 0.500
Pm2 0.195 0.195 0.000
Pm3 0.380 0.880 0.500
Pm4 0.620 0.120 0.500
Pm5 0.805 0.805 0.000
Pm6 0.880 0.380 0.500
Pr1 0.297 0.297 0.000
Pr2 0.500 0.500 0.000
Pr3 0.703 0.703 0.000
Nd1 0.046 0.046 0.000
Nd2 0.954 0.954 0.000

<b>
# GGA-PBE Pm6Pr3Nd2, relaxed
# - space group = P-1
# - mass density (g/cm3) = 6.8
data_Pm6Pr3Nd2
_chemical_formula_sum 'Pm6 Pr3 Nd2'
_cell_length_a 3.674
_cell_length_b 6.360
_cell_length_c 17.249
_cell_angle_alpha 90.01
_cell_angle_beta 90.00
_cell_angle_gamma 106.70
_space_group_name_H-M_alt 'P 1'
_space_group_IT_number 1
_space_group_name_Hall 'P 1'
loop_
_atom_site_label
_atom_site_fract_x
_atom_site_fract_y
_atom_site_fract_z
Pm1 0.047 0.092 0.181
Pm2 0.136 0.273 0.546
Pm3 0.227 0.454 0.909
Pm4 0.773 0.546 0.091
Pm5 0.864 0.727 0.454
Pm6 0.953 0.908 0.819
Pr1 0.409 0.818 0.637
Pr2 0.500 0.000 0.000
Pr3 0.591 0.182 0.363
Nd1 0.320 0.638 0.272
Nd2 0.680 0.362 0.728

Name the least stable of them. <a>.